[1]
The following is a PBE calculation of crystalline Pa2BeSi4Ni3 at its relaxed geometry, from the Alexandria database.

* V: 14.82 A^3/atom
* SG: P-4m2 (115)
* uncorrected formation energy: -0.7096 eV/atom
* Fermi-level density of states: 3.75 states/eV per cell
* magnetic moment: 0.000 μB per cell

Cell: 3.9950 3.9950 9.2864 Å, 90.00 90.00 90.00°
Last column: nearest neighbours and their distance in Å.
Atoms (fractional coordinates):
Pa 0.0000 0.5000 0.2445  8 Si 3.02-3.10, 2 Be 3.02, 6 Ni 3.02-3.08
Pa 0.5000 0.0000 0.7555  8 Si 3.02-3.10, 6 Ni 3.02-3.08, 2 Be 3.02
Be 0.5000 0.5000 0.0000  4 Si 2.33
Si 0.0000 0.0000 0.5000  4 Ni 2.31
Si 0.0000 0.5000 0.8708  3 Ni 2.29-2.33, 2 Be 2.33
Si 0.5000 0.0000 0.1292  3 Ni 2.29-2.33, 2 Be 2.33
Si 0.5000 0.5000 0.5000  4 Ni 2.31
Ni 0.0000 0.0000 0.0000  4 Si 2.33
Ni 0.0000 0.5000 0.6245  5 Si 2.29-2.31
Ni 0.5000 0.0000 0.3755  5 Si 2.29-2.31

---

[2]
The following is a PBE calculation of crystalline CsCaH2SeF at its relaxed geometry, from the Alexandria database.

* V: 22.17 A^3/atom
* SG: Cm (8)
* energy above the most stable polymorph in this dataset: 204.1 meV/atom
* Fermi-level density of states: 0.00 states/eV per cell
* magnetic moment: 0.000 μB per cell

Cell: 4.1572 4.1572 8.8811 Å, 104.20 104.20 64.92°
Last column: nearest neighbours and their distance in Å.
Atoms (fractional coordinates):
Cs 0.0000 0.0000 0.0000  3 F 2.85-2.88
Ca 0.4680 0.4680 0.5747  1 F 2.17, 1 H 2.36
H 0.1459 0.1459 0.6064  3 Ca 2.36-2.53
H 0.5417 0.5417 0.2876  1 Se 1.50
Se 0.7645 0.7645 0.3435  1 H 1.50
F 0.5827 0.5827 0.8299  1 Ca 2.17